# PmNdFe GGA-PBE optimized geometry
# M_tot (μB/cell): 5.126
# Symmetry: Pnma, No. 62
# Formation enthalpy at 0 K (eV per atom): 0.150
data_PmNdFe
_chemical_formula_sum 'Pm4 Nd4 Fe4'
_cell_length_a 3.990
_cell_length_b 6.930
_cell_length_c 11.992
_cell_angle_alpha 90.00
_cell_angle_beta 90.00
_cell_angle_gamma 90.00
_space_group_name_H-M_alt 'P 1'
_space_group_IT_number 1
_space_group_name_Hall 'P 1'
loop_
_atom_site_label
_atom_site_type_symbol
_atom_site_fract_x
_atom_site_fract_y
_atom_site_fract_z
Nd1 Nd 0.750 0.169 0.690
Nd2 Nd 0.250 0.831 0.310
Fe1 Fe 0.750 0.039 0.452
Fe2 Fe 0.250 0.539 0.048
Nd3 Nd 0.750 0.331 0.190
Pm1 Pm 0.250 0.327 0.438
Fe3 Fe 0.750 0.461 0.952
Pm2 Pm 0.750 0.827 0.062
Fe4 Fe 0.250 0.961 0.548
Nd4 Nd 0.250 0.669 0.810
Pm3 Pm 0.250 0.173 0.938
Pm4 Pm 0.750 0.673 0.562